1.
# CaNiO2F

A geometry-optimized CaNiO2F structure (GGA+U, Alexandria via LeMat-Bulk).

The total DFT energy (no corrections) comes out at -20.4 eV/cell. As for the spin magnetization: 3.01 μB per formula unit.

It has space group P4/mmm (No. 123), with a = 4.334 Å, b = 4.334 Å, c = 4.188 Å, α = 90.00°, β = 90.00° and γ = 90.00°. The asymmetric unit holds Ca at (0.000, 0.000, 0.000), Ni at (0.500, 0.500, 0.500), O at (0.000, 0.500, 0.000) and F at (0.000, 0.000, 0.500).

***

2.
# CaNiO2F

A geometry-optimized CaNiO2F structure (GGA+U, Alexandria via LeMat-Bulk).

The total DFT energy (no corrections) comes out at -26.0 eV/cell. As for the spin magnetization: 1.03 μB per formula unit.

It has space group P4/mmm (No. 123), with a = 3.816 Å, b = 3.816 Å, c = 3.944 Å, α = 90.00°, β = 90.00° and γ = 90.00°. The asymmetric unit holds Ca at (0.000, 0.000, 0.000), Ni at (0.500, 0.500, 0.500), O at (0.000, 0.500, 0.500) and F at (0.500, 0.500, 0.000).

***

3.
# CaNiOF2

A geometry-optimized CaNiOF2 structure (GGA+U, Alexandria via LeMat-Bulk).

The total DFT energy (no corrections) comes out at -25.2 eV/cell. The calculation puts the offset from the most stable computed form at 0 meV/atom. As for the spin magnetization: 2.00 μB per formula unit.

It has space group P4/mmm (No. 123), with a = 3.908 Å, b = 3.908 Å, c = 4.040 Å, α = 90.00°, β = 90.00° and γ = 90.00°. The asymmetric unit holds Ca at (0.000, 0.000, 0.000), Ni at (0.500, 0.500, 0.500), O at (0.500, 0.500, 0.000) and F at (0.000, 0.500, 0.500).

***

4.
# CaNiO2F

A geometry-optimized CaNiO2F structure (GGA+U, Alexandria via LeMat-Bulk).

The total DFT energy (no corrections) comes out at -23.2 eV/cell. As for the spin magnetization: 1.56 μB per formula unit.

It has space group P4/mmm (No. 123), with a = 3.554 Å, b = 3.554 Å, c = 5.436 Å, α = 90.00°, β = 90.00° and γ = 90.00°. The asymmetric unit holds Ca at (0.000, 0.000, 0.000), Ni at (0.000, 0.000, 0.500), O at (0.000, 0.500, 0.500) and F at (0.500, 0.500, 0.000).

***

5.
# CaNiP2F

A geometry-optimized CaNiP2F structure (GGA+U, Alexandria via LeMat-Bulk).

The total DFT energy (no corrections) comes out at -20.1 eV/cell. As for the spin magnetization: 1.02 μB per formula unit.

It has space group P4/mmm (No. 123), with a = 4.142 Å, b = 4.142 Å, c = 5.283 Å, α = 90.00°, β = 90.00° and γ = 90.00°. The asymmetric unit holds Ca at (0.000, 0.000, 0.000), Ni at (0.500, 0.500, 0.500), P at (0.000, 0.500, 0.500) and F at (0.500, 0.500, 0.000).

***

6.
# CaNiPF2

A geometry-optimized CaNiPF2 structure (GGA+U, Alexandria via LeMat-Bulk).

The total DFT energy (no corrections) comes out at -18.5 eV/cell. As for the spin magnetization: 0.83 μB per formula unit.

It has space group P4/mmm (No. 123), with a = 3.938 Å, b = 3.938 Å, c = 6.033 Å, α = 90.00°, β = 90.00° and γ = 90.00°. The asymmetric unit holds Ca at (0.000, 0.000, 0.000), Ni at (0.000, 0.000, 0.500), P at (0.500, 0.500, 0.000) and F at (0.000, 0.500, 0.500).

***

7.
# CaNiPbF6

A geometry-optimized CaNiPbF6 structure (GGA+U, Alexandria via LeMat-Bulk).

The total DFT energy (no corrections) comes out at -89.2 eV/cell. As for the spin magnetization: 1.97 μB per formula unit.

It has space group P4_2nm (No. 102), with a = 5.219 Å, b = 5.219 Å, c = 10.531 Å, α = 90.00°, β = 90.00° and γ = 90.00°. The asymmetric unit holds Ca at (0.000, 0.000, 0.000), Ni at (0.000, 0.000, 0.336), Pb at (0.000, 0.000, 0.669), F at (0.173, 0.173, 0.182), F at (0.193, 0.193, 0.477) and F at (0.222, 0.222, 0.847).

***

8.
# CaNi2PtF

A geometry-optimized CaNi2PtF structure (GGA+U, Alexandria via LeMat-Bulk).

The total DFT energy (no corrections) comes out at -15.0 eV/cell. As for the spin magnetization: 1.98 μB per formula unit.

It has space group P4/mmm (No. 123), with a = 4.780 Å, b = 4.780 Å, c = 4.455 Å, α = 90.00°, β = 90.00° and γ = 90.00°. The asymmetric unit holds Ca at (0.000, 0.000, 0.000), Ni at (0.000, 0.500, 0.500), Pt at (0.500, 0.500, 0.500) and F at (0.500, 0.500, 0.000).

***

9.
# RbCa2NiF

A geometry-optimized RbCa2NiF structure (GGA+U, Alexandria via LeMat-Bulk).

The total DFT energy (no corrections) comes out at -10.2 eV/cell. As for the spin magnetization: 0.28 μB per formula unit.

It has space group P4/mmm (No. 123), with a = 5.221 Å, b = 5.221 Å, c = 6.621 Å, α = 90.00°, β = 90.00° and γ = 90.00°. The asymmetric unit holds Rb at (0.000, 0.000, 0.000), Ca at (0.000, 0.500, 0.500), Ni at (0.000, 0.000, 0.500) and F at (0.500, 0.500, 0.000).

***

10.
# Rb2CaNiF6

A geometry-optimized Rb2CaNiF6 structure (GGA+U, Alexandria via LeMat-Bulk).

The total DFT energy (no corrections) comes out at -189.7 eV/cell. As for the spin magnetization: 2.00 μB per formula unit.

It has space group Fm-3m (No. 225), with a = 8.615 Å, b = 8.615 Å, c = 8.615 Å, α = 90.00°, β = 90.00° and γ = 90.00°. The asymmetric unit holds Rb at (0.250, 0.250, 0.250), Ca at (0.000, 0.000, 0.000), Ni at (0.000, 0.000, 0.500) and F at (0.000, 0.000, 0.262).

***

11.
# RbCaNiF6

A geometry-optimized RbCaNiF6 structure (GGA+U, Alexandria via LeMat-Bulk).

The total DFT energy (no corrections) comes out at -165.6 eV/cell. As for the spin magnetization: 1.00 μB per formula unit.

It has space group Imma (No. 74), with a = 7.484 Å, b = 7.571 Å, c = 9.835 Å, α = 90.00°, β = 90.00° and γ = 90.00°. The asymmetric unit holds Rb at (0.000, 0.250, 0.151), Ca at (0.250, 0.250, 0.750), Ni at (0.000, 0.000, 0.500), F at (0.000, 0.250, 0.573), F at (0.000, 0.250, 0.869) and F at (0.174, 0.031, 0.370).

***

12.
# Ca2Ni2SF6

A geometry-optimized Ca2Ni2SF6 structure (GGA+U, Alexandria via LeMat-Bulk).

The total DFT energy (no corrections) comes out at -408.5 eV/cell. As for the spin magnetization: 4.00 μB per formula unit.

It has space group Fd-3m (No. 227, origin choice 2), with a = 11.054 Å, b = 11.054 Å, c = 11.054 Å, α = 90.00°, β = 90.00° and γ = 90.00°. The asymmetric unit holds Ca at (0.000, 0.000, 0.000), Ni at (0.000, 0.000, 0.500), S at (0.125, 0.125, 0.125) and F at (0.073, 0.375, 0.875).